# 1
The following is a GGA-PBE calculation of an optimized crystal structure of Te6AuCl2, from the Open Quantum Materials Database.

POSCAR file:
```
Te6AuCl2
1.0
5.085 0.000 0.000
0.059 7.826 0.000
1.476 3.450 8.021
Te Au Cl
6 1 2
Direct
0.077 0.033 0.243
0.155 0.700 0.997
0.237 0.278 0.735
0.763 0.722 0.265
0.845 0.300 0.003
0.923 0.967 0.757
0.000 0.500 0.500
0.460 0.367 0.242
0.540 0.633 0.758
```

Output
The total energy is -2.99 eV per atom. Its space group is P-1 (2).


# 2
The following is a GGA-PBE calculation of an optimized crystal structure of FeCuBr2Cl2, from the Open Quantum Materials Database.

POSCAR file:
```
FeCuBr2Cl2
1.0
4.136 -5.193 0.000
4.136 5.193 0.000
-4.055 0.000 4.142
Fe Cu Br Cl
1 1 2 2
Direct
0.000 0.000 0.000
0.239 0.761 0.500
0.114 0.371 0.014
0.629 0.886 0.986
0.327 0.088 0.449
0.912 0.673 0.551
```

Output
The value obtained for the polymorph energy (0 for the lowest one) is 0 meV per atom. Its space group is C2 (5).


# 3
The following is a GGA-PBE calculation of an optimized crystal structure of Tb2YCu4Pb4, from the Open Quantum Materials Database.

POSCAR file:
```
Tb2YCu4Pb4
1.0
-2.285 3.538 7.522
2.285 -3.538 7.522
2.285 3.538 -7.522
Tb Y Cu Pb
2 1 4 4
Direct
0.132 0.132 0.000
0.868 0.868 0.000
0.500 0.000 0.500
0.142 0.330 0.813
0.483 0.670 0.813
0.517 0.330 0.187
0.858 0.670 0.187
0.209 0.500 0.709
0.284 0.784 0.500
0.716 0.216 0.500
0.791 0.500 0.291
```

Output
The total energy is -4.41 eV per atom. Its space group is Immm (71).


# 4
The following is a GGA-PBE calculation of an optimized crystal structure of KPuAgSeS2, from the Open Quantum Materials Database.

POSCAR file:
```
KPuAgSeS2
1.0
8.257 0.000 0.000
0.000 4.086 0.000
-2.964 0.000 9.476
K Pu Ag Se S
2 2 2 2 4
Direct
0.232 0.250 0.261
0.768 0.750 0.739
0.318 0.750 0.853
0.682 0.250 0.147
0.073 0.250 0.601
0.927 0.750 0.399
0.266 0.750 0.557
0.734 0.250 0.443
0.107 0.250 0.862
0.457 0.750 0.135
0.543 0.250 0.865
0.893 0.750 0.138
```

Output
The total energy is -6.11 eV per atom. Its space group is P2_1/m (11).


# 5
The following is a GGA-PBE calculation of an optimized crystal structure of Sr2ZnGe2O7, from the Open Quantum Materials Database.

POSCAR file:
```
Sr2ZnGe2O7
1.0
8.144 0.000 0.000
0.000 8.144 0.000
0.000 0.000 5.316
Sr Zn Ge O
4 2 4 14
Direct
0.165 0.335 0.006
0.335 0.835 0.994
0.665 0.165 0.994
0.835 0.665 0.006
0.000 0.000 0.500
0.500 0.500 0.500
0.144 0.644 0.547
0.356 0.144 0.453
0.644 0.856 0.453
0.856 0.356 0.547
0.000 0.500 0.681
0.082 0.822 0.713
0.138 0.638 0.221
0.178 0.082 0.287
0.322 0.582 0.713
0.362 0.138 0.779
0.418 0.322 0.287
0.500 0.000 0.319
0.582 0.678 0.287
0.638 0.862 0.779
0.678 0.418 0.713
0.822 0.918 0.287
0.862 0.362 0.221
0.918 0.178 0.713
```

Output
The value obtained for the polymorph energy (0 for the lowest one) is 0 meV per atom. Its space group is P-42_1m (113).


# 6
The following is a GGA-PBE calculation of an optimized crystal structure of CsTmTeO, from the Open Quantum Materials Database.

POSCAR file:
```
CsTmTeO
1.0
9.868 0.000 0.000
0.000 7.335 0.000
-1.191 0.000 6.566
Cs Tm Te O
4 4 4 4
Direct
0.134 0.079 0.322
0.134 0.421 0.822
0.866 0.579 0.178
0.866 0.921 0.678
0.495 0.636 0.795
0.495 0.864 0.295
0.505 0.136 0.705
0.505 0.364 0.205
0.271 0.579 0.369
0.271 0.921 0.869
0.729 0.079 0.131
0.729 0.421 0.631
0.436 0.140 0.381
0.436 0.360 0.881
0.564 0.640 0.119
0.564 0.860 0.619
```

Output
The value obtained for the polymorph energy (0 for the lowest one) is 0 meV per atom. Its space group is P2_1/c (14).


# 7
The following is a GGA-PBE calculation of an optimized crystal structure of ZrScCS, from the Open Quantum Materials Database.

POSCAR file:
```
ZrScCS
1.0
3.434 0.000 0.000
-1.717 2.973 0.000
0.000 0.000 12.111
Zr Sc C S
2 2 2 2
Direct
0.333 0.667 0.000
0.667 0.333 0.500
0.333 0.667 0.296
0.667 0.333 0.796
0.000 0.000 0.399
0.000 0.000 0.899
0.333 0.667 0.648
0.667 0.333 0.148
```

Output
The value obtained for the polymorph energy (0 for the lowest one) is 1 meV per atom. Its space group is P6_3mc (186).


# 8
The following is a GGA-PBE calculation of an optimized crystal structure of Sc2FeSe4, from the Open Quantum Materials Database.

POSCAR file:
```
Sc2FeSe4
1.0
0.000 5.506 5.506
5.506 0.000 5.506
5.506 5.506 0.000
Sc Fe Se
4 2 8
Direct
0.000 0.000 0.000
0.000 0.000 0.500
0.000 0.500 0.000
0.500 0.000 0.000
0.375 0.375 0.375
0.625 0.625 0.625
0.240 0.753 0.753
0.247 0.247 0.247
0.247 0.247 0.760
0.247 0.760 0.247
0.753 0.240 0.753
0.753 0.753 0.240
0.753 0.753 0.753
0.760 0.247 0.247
```

Output
The total energy is -6.19 eV per atom. Its space group is Fd-3m (227).


# 9
The following is a GGA-PBE calculation of an optimized crystal structure of AlPt2, from the Open Quantum Materials Database.

POSCAR file:
```
AlPt2
1.0
16.471 0.000 0.000
0.000 3.956 0.000
0.000 0.000 5.502
Al Pt
8 16
Direct
0.000 0.000 0.000
0.091 0.500 0.309
0.250 0.500 0.791
0.409 0.500 0.309
0.500 0.000 0.000
0.591 0.500 0.691
0.750 0.500 0.209
0.909 0.500 0.691
0.000 0.000 0.500
0.069 0.500 0.797
0.157 0.000 0.051
0.167 0.000 0.555
0.250 0.500 0.272
0.333 0.000 0.555
0.343 0.000 0.051
0.431 0.500 0.797
0.500 0.000 0.500
0.569 0.500 0.203
0.657 0.000 0.949
0.667 0.000 0.445
0.750 0.500 0.728
0.833 0.000 0.445
0.843 0.000 0.949
0.931 0.500 0.203
```

Output
The total energy is -6.15 eV per atom. Its space group is Pmma (51).


# 10
The following is a GGA-PBE calculation of an optimized crystal structure of KTaNO, from the Open Quantum Materials Database.

POSCAR file:
```
KTaNO
1.0
3.382 0.000 0.000
0.000 3.382 0.000
0.000 0.000 8.646
K Ta N O
2 2 2 2
Direct
0.250 0.750 0.000
0.750 0.250 0.000
0.250 0.250 0.352
0.750 0.750 0.648
0.250 0.250 0.750
0.750 0.750 0.250
0.250 0.750 0.500
0.750 0.250 0.500
```

Output
The value obtained for the polymorph energy (0 for the lowest one) is 1115 meV per atom. Its space group is P4/nmm (129).


# 11
The following is a GGA-PBE calculation of an optimized crystal structure of HoNbNO, from the Open Quantum Materials Database.

POSCAR file:
```
HoNbNO
1.0
3.446 0.000 0.000
0.000 5.980 0.000
0.000 0.000 5.781
Ho Nb N O
2 2 2 2
Direct
0.000 0.167 0.000
0.000 0.833 0.500
0.500 0.392 0.431
0.500 0.608 0.931
0.000 0.204 0.395
0.000 0.796 0.895
0.500 0.268 0.789
0.500 0.732 0.289
```

Output
The value obtained for the polymorph energy (0 for the lowest one) is 151 meV per atom. Its space group is Pmc2_1 (26).


# 12
The following is a GGA-PBE calculation of an optimized crystal structure of Nd2Ge4IrPd, from the Open Quantum Materials Database.

POSCAR file:
```
Nd2Ge4IrPd
1.0
4.457 0.000 0.000
0.000 2.159 8.573
0.000 -2.159 8.573
Nd Ge Ir Pd
2 4 1 1
Direct
0.000 0.000 0.000
0.500 0.216 0.216
0.000 0.360 0.360
0.000 0.647 0.647
0.500 0.574 0.574
0.500 0.855 0.855
0.000 0.788 0.788
0.500 0.432 0.432
```

Output
The total energy is -6.04 eV per atom. Its space group is Amm2 (38).